# 1
{
  "formula": "Tl2Au",
  "functional": "PBE",
  "state": "optimized geometry",
  "lattice_angstrom": [[6.447, 0.000, 0.000], [-3.223, 5.583, 0.000], [0.000, 0.000, 10.546]],
  "species": ["Tl", "Tl", "Tl", "Tl", "Tl", "Tl", "Tl", "Tl", "Au", "Au", "Au", "Au"],
  "fractional_positions": [[0.000, 0.000, 0.000], [0.000, 0.000, 0.500], [0.830, 0.660, 0.250], [0.170, 0.340, 0.750], [0.340, 0.170, 0.250], [0.830, 0.170, 0.250], [0.170, 0.830, 0.750], [0.660, 0.830, 0.750], [0.333, 0.667, 0.983], [0.667, 0.333, 0.483], [0.667, 0.333, 0.017], [0.333, 0.667, 0.517]]
}

=====

# 2
{
  "formula": "Tl13Au2",
  "functional": "PBE",
  "state": "optimized geometry",
  "lattice_angstrom": [[7.794, 0.000, 3.914], [2.914, 7.229, 3.914], [0.345, 0.233, 9.030]],
  "species": ["Tl", "Tl", "Tl", "Tl", "Tl", "Tl", "Tl", "Tl", "Tl", "Tl", "Tl", "Tl", "Tl", "Au", "Au"],
  "fractional_positions": [[0.500, 0.500, 0.500], [0.004, 0.604, 0.788], [0.604, 0.604, 0.788], [0.604, 0.004, 0.788], [0.396, 0.996, 0.212], [0.996, 0.396, 0.212], [0.396, 0.396, 0.212], [0.137, 0.761, 0.341], [0.761, 0.761, 0.341], [0.761, 0.137, 0.341], [0.239, 0.863, 0.659], [0.863, 0.239, 0.659], [0.239, 0.239, 0.659], [0.634, 0.634, 0.098], [0.366, 0.366, 0.902]]
}

=====

# 3
{
  "formula": "TlAu5",
  "functional": "PBE",
  "state": "optimized geometry",
  "lattice_angstrom": [[-1.121, -2.234, 2.460], [3.290, -0.380, 1.153], [-1.291, 7.389, 6.121]],
  "species": ["Au", "Au", "Au", "Au", "Au", "Tl"],
  "fractional_positions": [[0.000, 0.000, 0.804], [0.000, 0.000, 0.196], [0.500, 0.500, 0.654], [0.500, 0.500, 0.346], [0.000, 0.000, 0.500], [0.500, 0.500, 0.000]]
}

=====

Number 1: energy -2.352 eV/atom. Number 2: energy -2.393 eV/atom. Number 3: energy -3.060 eV/atom.